ErAl3Zn2 | PBE-GGA | optimized geometry

abc: 8.0528 8.0528 6.7470
angles: 105.80 105.80 31.02
Last column: nearest neighbours and their distance in Å.
Sites, in units of the cell vectors:
1 Er 0.1164 0.1164 0.1816  7 Al 3.03-3.24, 7 Zn 3.04-3.21
2 Er 0.8836 0.8836 0.8184  7 Al 3.03-3.24, 7 Zn 3.04-3.21
3 Al 0.0671 0.0671 0.6854  3 Zn 2.56-2.70, 3 Al 2.73-2.77
4 Al 0.3022 0.3022 0.0765  2 Zn 2.59-2.73, 3 Al 2.72-2.77
5 Al 0.3796 0.3796 0.4996  4 Zn 2.71-2.81, 3 Al 2.73-2.77, 2 Er 3.03
6 Al 0.6204 0.6204 0.5004  4 Zn 2.71-2.81, 3 Al 2.73-2.77, 2 Er 3.03
7 Al 0.6978 0.6978 0.9235  2 Zn 2.59-2.73, 3 Al 2.72-2.77
8 Al 0.9329 0.9329 0.3146  3 Zn 2.56-2.70, 3 Al 2.73-2.77
9 Zn 0.2368 0.2368 0.6553  7 Al 2.70-2.98
10 Zn 0.4753 0.4753 0.1589  1 Zn 2.47, 4 Al 2.56-2.73
11 Zn 0.5247 0.5247 0.8411  1 Zn 2.47, 4 Al 2.56-2.73
12 Zn 0.7632 0.7632 0.3447  7 Al 2.70-2.98

Summary:
- Fermi-level density of states: 3.5 states/eV per cell
- Formation energy: -0.248 eV/atom
- Total magnetic moment: 0.0 Bohr magnetons per cell
- Energy: -3.30 eV/atom